A plane-wave DFT calculation with PBE+U was carried out for crystalline Mn2CdSbO4 at its relaxed geometry.

Summary:
For the raw total energy, the calculation gives -97.637 eV per cell. The density of states at the Fermi level is 1.4 states/eV/f.u.

a b c (Å): 6.389 6.389 7.407
angles (deg): 118.79 118.79 91.59
Site moments in Bohr magnetons follow the coordinates.
Element x y z (fractional)
1 O 0.206 0.176 0.894  0.04
2 O 0.245 0.746 0.471  0.05
3 O 0.324 0.294 0.606  0.04
4 O 0.754 0.255 0.029  0.05
5 O 0.676 0.706 0.394  0.04
6 O 0.246 0.745 0.971  0.05
7 O 0.755 0.254 0.529  0.05
8 O 0.794 0.824 0.106  0.04
9 Mn 0.000 0.000 0.500  4.60
10 Mn 0.500 0.000 0.500  4.59
11 Mn 0.500 0.500 0.000  4.60
12 Mn 0.500 0.000 0.000  4.59
13 Sb 0.000 0.000 0.000  -0.01
14 Sb 0.500 0.500 0.500  -0.01
15 Cd 0.000 0.500 0.000  0.02
16 Cd 0.000 0.500 0.500  0.02